No. 1
Compound: MnH10CNCl3O2
Source: Alexandria via LeMat-Bulk
Functional: PBE+U
Structure: relaxed

Unit cell a=9.0563 b=8.0519 c=11.7315 alpha=89.50 beta=90.00 gamma=90.00
Element x y z (fractional)
Mn 0.4908 0.9717 0.7477
Mn 0.9908 0.0283 0.7523
Mn 0.0092 0.9717 0.2477
Mn 0.5092 0.0283 0.2523
H 0.4875 0.8128 0.0596
H 0.8397 0.2100 0.3697
H 0.0913 0.3545 0.3011
H 0.9876 0.8248 0.9541
H 0.4876 0.1752 0.5459
H 0.3059 0.4060 0.4259
H 0.3284 0.5707 0.9288
H 0.2498 0.3639 0.2275
H 0.6716 0.4293 0.0712
H 0.4087 0.3545 0.8011
H 0.3397 0.7900 0.1303
H 0.1771 0.1615 0.0913
H 0.8229 0.8385 0.9087
H 0.1603 0.7900 0.6303
H 0.6351 0.4726 0.2758
H 0.8284 0.4293 0.5712
H 0.9087 0.6455 0.6989
H 0.7502 0.6361 0.7725
H 0.3229 0.1615 0.5913
H 0.8362 0.4053 0.1530
H 0.2502 0.3639 0.7275
H 0.1638 0.5947 0.8470
H 0.6941 0.5940 0.5741
H 0.5913 0.6455 0.1989
H 0.8059 0.5940 0.0741
H 0.3362 0.5947 0.3470
H 0.1716 0.5707 0.4288
H 0.9875 0.1872 0.4404
H 0.3649 0.5274 0.7242
H 0.0125 0.8128 0.5596
H 0.7498 0.6361 0.2725
H 0.0124 0.1752 0.0459
H 0.5125 0.1872 0.9404
H 0.6771 0.8385 0.4087
H 0.6638 0.4053 0.6530
H 0.1351 0.5274 0.2242
H 0.6603 0.2100 0.8697
H 0.8649 0.4726 0.7758
H 0.5124 0.8248 0.4541
H 0.1941 0.4060 0.9259
C 0.2468 0.5058 0.8770
C 0.7468 0.4942 0.6230
C 0.2532 0.5058 0.3770
C 0.7532 0.4942 0.1230
N 0.6770 0.5670 0.2233
N 0.3230 0.4330 0.7767
N 0.1770 0.4330 0.2767
N 0.8230 0.5670 0.7233
Cl 0.8938 0.2555 0.8852
Cl 0.2571 0.0106 0.3454
Cl 0.7429 0.9894 0.6546
Cl 0.4145 0.2406 0.1076
Cl 0.7571 0.9894 0.1546
Cl 0.6062 0.2555 0.3852
Cl 0.1062 0.7445 0.1148
Cl 0.2429 0.0106 0.8454
Cl 0.9145 0.7594 0.3924
Cl 0.3938 0.7445 0.6148
Cl 0.5855 0.7594 0.8924
Cl 0.0855 0.2406 0.6076
O 0.9480 0.1931 0.3615
O 0.4480 0.8069 0.1385
O 0.0520 0.8069 0.6385
O 0.9273 0.8370 0.8843
O 0.5727 0.8370 0.3843
O 0.5520 0.1931 0.8615
O 0.4273 0.1630 0.6157
O 0.0727 0.1630 0.1157

Summary:
* E_tot: -4.917 eV/atom
* spin magnetization: 5.00 μB per formula unit
* SG: No. 14

=====

No. 2
Compound: MnH12C2NCl3O2
Source: Alexandria via LeMat-Bulk
Functional: PBE+U
Structure: relaxed

Unit cell a=10.6433 b=10.6433 c=9.3377 alpha=89.89 beta=89.89 gamma=69.16
Element x y z (fractional)
Mn 0.7601 0.7392 0.7934
Mn 0.2608 0.2399 0.7066
Mn 0.2399 0.2608 0.2066
Mn 0.7392 0.7601 0.2934
H 0.6025 0.1551 0.5839
H 0.8449 0.3975 0.9161
H 0.3975 0.8449 0.4161
H 0.1551 0.6025 0.0839
H 0.6553 0.1011 0.4172
H 0.8989 0.3447 0.0828
H 0.3447 0.8989 0.5828
H 0.1011 0.6553 0.9172
H 0.7304 0.9522 0.9786
H 0.0478 0.2696 0.5214
H 0.2696 0.0478 0.0214
H 0.9522 0.7304 0.4786
H 0.6500 0.0212 0.8414
H 0.9788 0.3500 0.6586
H 0.3500 0.9788 0.1586
H 0.0212 0.6500 0.3414
H 0.5469 0.7687 0.9789
H 0.2313 0.4531 0.5211
H 0.4531 0.2313 0.0211
H 0.7687 0.5469 0.4789
H 0.4782 0.8493 0.8416
H 0.1507 0.5218 0.6584
H 0.5218 0.1507 0.1584
H 0.8493 0.4782 0.3416
H 0.8206 0.1807 0.6285
H 0.8193 0.1794 0.8715
H 0.1794 0.8193 0.3715
H 0.1807 0.8206 0.1285
H 0.8710 0.1096 0.4552
H 0.8904 0.1290 0.0448
H 0.1290 0.8904 0.5448
H 0.1096 0.8710 0.9552
H 0.8313 0.0109 0.5929
H 0.9891 0.1687 0.9071
H 0.1687 0.9891 0.4071
H 0.0109 0.8313 0.0929
H 0.6864 0.3165 0.3707
H 0.6835 0.3136 0.1293
H 0.3136 0.6835 0.6293
H 0.3165 0.6864 0.8707
H 0.6161 0.3687 0.5439
H 0.6313 0.3839 0.9561
H 0.3839 0.6313 0.4561
H 0.3687 0.6161 0.0439
H 0.5155 0.3312 0.4072
H 0.6688 0.4845 0.0928
H 0.4845 0.6688 0.5928
H 0.3312 0.5155 0.9072
C 0.8072 0.1119 0.5481
C 0.8881 0.1928 0.9519
C 0.1928 0.8881 0.4519
C 0.1119 0.8072 0.0481
C 0.6168 0.3051 0.4516
C 0.6949 0.3832 0.0484
C 0.3832 0.6949 0.5484
C 0.3051 0.6168 0.9516
N 0.6645 0.1625 0.5002
N 0.8375 0.3355 0.9998
N 0.3355 0.8375 0.4998
N 0.1625 0.6645 0.0002
Cl 0.6562 0.8426 0.5518
Cl 0.1574 0.3438 0.9482
Cl 0.3438 0.1574 0.4482
Cl 0.8426 0.6562 0.0518
Cl 0.9974 0.7152 0.7083
Cl 0.2848 0.0026 0.7917
Cl 0.0026 0.2848 0.2917
Cl 0.7152 0.9974 0.2083
Cl 0.7846 0.5018 0.7087
Cl 0.4982 0.2154 0.7913
Cl 0.2154 0.4982 0.2913
Cl 0.5018 0.7846 0.2087
O 0.7302 0.9450 0.8730
O 0.0550 0.2698 0.6270
O 0.2698 0.0550 0.1270
O 0.9450 0.7302 0.3730
O 0.5542 0.7689 0.8732
O 0.2311 0.4458 0.6268
O 0.4458 0.2311 0.1268
O 0.7689 0.5542 0.3732

Summary:
* E_tot: -4.985 eV/atom
* spin magnetization: 5.00 μB per formula unit
* SG: No. 15

=====

No. 3
Compound: MnH14C3NCl3O2
Source: Alexandria via LeMat-Bulk
Functional: PBE+U
Structure: relaxed

Unit cell a=7.5267 b=8.3072 c=17.0906 alpha=90.00 beta=90.00 gamma=90.00
Element x y z (fractional)
Mn 0.0000 0.5000 0.5000
Mn 0.5000 0.0000 0.0000
Mn 0.0000 0.0000 0.0000
Mn 0.5000 0.5000 0.5000
H 0.5301 0.2009 0.6893
H 0.2500 0.2584 0.1254
H 0.9014 0.6718 0.0160
H 0.5986 0.6718 0.0160
H 0.0885 0.3739 0.7243
H 0.7500 0.4525 0.7735
H 0.9115 0.8739 0.7757
H 0.7500 0.7584 0.3746
H 0.3695 0.5243 0.1360
H 0.9324 0.1736 0.5403
H 0.5877 0.6913 0.7187
H 0.9123 0.8087 0.2187
H 0.6305 0.4757 0.8640
H 0.9123 0.6913 0.7187
H 0.7500 0.0475 0.2735
H 0.5301 0.2991 0.1893
H 0.7500 0.7416 0.8746
H 0.6305 0.0243 0.3640
H 0.4123 0.3087 0.2813
H 0.5885 0.8739 0.7757
H 0.0301 0.7009 0.8107
H 0.4324 0.6736 0.9597
H 0.2500 0.5475 0.2265
H 0.0301 0.7991 0.3107
H 0.1305 0.9757 0.6360
H 0.8695 0.0243 0.3640
H 0.5676 0.3264 0.0403
H 0.3695 0.9757 0.6360
H 0.2500 0.2416 0.6254
H 0.4699 0.7991 0.3107
H 0.2500 0.9525 0.7265
H 0.9324 0.3264 0.0403
H 0.4324 0.8264 0.4597
H 0.5877 0.8087 0.2187
H 0.9699 0.2991 0.1893
H 0.0986 0.1718 0.4840
H 0.9699 0.2009 0.6893
H 0.0877 0.1913 0.7813
H 0.5986 0.8282 0.5160
H 0.0877 0.3087 0.2813
H 0.4115 0.3739 0.7243
H 0.0885 0.1261 0.2243
H 0.5676 0.1736 0.5403
H 0.0676 0.8264 0.4597
H 0.0676 0.6736 0.9597
H 0.9014 0.8282 0.5160
H 0.4014 0.1718 0.4840
H 0.4123 0.1913 0.7813
H 0.4115 0.1261 0.2243
H 0.9115 0.6261 0.2757
H 0.4699 0.7009 0.8107
H 0.8695 0.4757 0.8640
H 0.4014 0.3282 0.9840
H 0.1305 0.5243 0.1360
H 0.0986 0.3282 0.9840
H 0.5885 0.6261 0.2757
C 0.2500 0.0095 0.6686
C 0.2500 0.4905 0.1686
C 0.7500 0.9905 0.3314
C 0.5862 0.7576 0.2779
C 0.4138 0.2576 0.2221
C 0.7500 0.5095 0.8314
C 0.4138 0.2424 0.7221
C 0.5862 0.7424 0.7779
C 0.9138 0.7424 0.7779
C 0.9138 0.7576 0.2779
C 0.0862 0.2576 0.2221
C 0.0862 0.2424 0.7221
N 0.2500 0.1878 0.6803
N 0.7500 0.8122 0.3197
N 0.7500 0.6878 0.8197
N 0.2500 0.3122 0.1803
Cl 0.2500 0.9368 0.0996
Cl 0.7500 0.5010 0.0851
Cl 0.7500 0.5060 0.6013
Cl 0.2500 0.0010 0.4149
Cl 0.7500 0.0632 0.9004
Cl 0.2500 0.5632 0.5996
Cl 0.2500 0.4990 0.9149
Cl 0.2500 0.4940 0.3987
Cl 0.7500 0.4368 0.4004
Cl 0.7500 0.9940 0.1013
Cl 0.2500 0.0060 0.8987
Cl 0.7500 0.9990 0.5851
O 0.5376 0.7380 0.9758
O 0.9624 0.7380 0.9758
O 0.9624 0.7620 0.4758
O 0.5376 0.7620 0.4758
O 0.4624 0.2620 0.0242
O 0.4624 0.2380 0.5242
O 0.0376 0.2620 0.0242
O 0.0376 0.2380 0.5242

Summary:
* E_tot: -5.038 eV/atom
* spin magnetization: 5.00 μB per formula unit
* SG: No. 62